Entry 1
A relaxed Ba2HfB2 crystal, computed with PBE.

Cell lengths 8.629, 8.629, 3.242 Å; angles 90.00, 90.00, 90.00 degrees
Element x y z (fractional)
Ba: 0.133 0.367 0.000
Ba: 0.367 0.867 0.000
Ba: 0.633 0.133 0.000
Ba: 0.867 0.633 0.000
Hf: 0.000 0.000 0.000
Hf: 0.500 0.500 0.000
B: 0.165 0.665 0.500
B: 0.335 0.165 0.500
B: 0.665 0.835 0.500
B: 0.835 0.335 0.500

## Properties
Crystal system ... tetragonal
Size of the total moment ... 0.690 μB per formula unit

***

Entry 2
A relaxed Ba2HfB2 crystal, computed with PBE.

Cell lengths 6.473, 6.473, 6.473 Å; angles 133.61, 133.61, 67.69 degrees
Element x y z (fractional)
Ba: 0.145 0.145 0.000
Ba: 0.855 0.855 0.000
Hf: 0.500 0.500 0.000
B: 0.250 0.750 0.500
B: 0.750 0.250 0.500

## Properties
Crystal system ... tetragonal
Size of the total moment ... 1.172 μB per formula unit

***

Sorted by energy, starting with the most stable: entry 1, entry 2.

***

Entry 1
A relaxed Ba2Hf2B crystal, computed with PBE.

Cell lengths 6.657, 6.657, 6.101 Å; angles 90.00, 90.00, 90.00 degrees
Element x y z (fractional)
Ba: 0.179 0.321 0.000
Ba: 0.321 0.821 0.000
Ba: 0.679 0.179 0.000
Ba: 0.821 0.679 0.000
Hf: 0.168 0.668 0.500
Hf: 0.332 0.168 0.500
Hf: 0.668 0.832 0.500
Hf: 0.832 0.332 0.500
B: 0.000 0.000 0.500
B: 0.500 0.500 0.500

## Properties
Crystal system ... tetragonal
Size of the total moment ... 0.000 μB per formula unit

***

Entry 2
A relaxed Ba2Hf2B crystal, computed with PBE.

Cell lengths 8.979, 8.979, 8.979 Å; angles 153.18, 153.18, 38.29 degrees
Element x y z (fractional)
Ba: 0.250 0.750 0.500
Ba: 0.750 0.250 0.500
Hf: 0.072 0.072 0.000
Hf: 0.928 0.928 0.000
B: 0.500 0.500 0.000

## Properties
Crystal system ... tetragonal
Size of the total moment ... 0.000 μB per formula unit

***

Sorted by energy, starting with the most stable: entry 1, entry 2.

***

Entry 1
A relaxed BaHgB3 crystal, computed with PBE.

Cell lengths 5.250, 5.250, 5.250 Å; angles 90.00, 90.00, 90.00 degrees
Element x y z (fractional)
Ba: 0.000 0.000 0.000
Hg: 0.500 0.500 0.500
B: 0.000 0.000 0.500
B: 0.000 0.500 0.000
B: 0.500 0.000 0.000

## Properties
Crystal system ... cubic
Size of the total moment ... 0.000 μB per formula unit

***

Entry 2
A relaxed BaHgB3 crystal, computed with PBE.

Cell lengths 4.631, 4.631, 4.631 Å; angles 90.00, 90.00, 90.00 degrees
Element x y z (fractional)
Ba: 0.000 0.000 0.000
Hg: 0.500 0.500 0.500
B: 0.000 0.500 0.500
B: 0.500 0.000 0.500
B: 0.500 0.500 0.000

## Properties
Crystal system ... cubic
Size of the total moment ... 0.000 μB per formula unit

***

Sorted by energy, starting with the most stable: entry 2, entry 1.

***

Entry 1
A relaxed BaBI2 crystal, computed with PBE.

Cell lengths 10.668, 10.668, 10.668 Å; angles 147.45, 147.45, 46.69 degrees
Element x y z (fractional)
Ba: 0.000 0.000 0.000
Ba: 0.750 0.250 0.500
B: 0.250 0.750 0.500
B: 0.500 0.500 0.000
I: 0.172 0.625 0.047
I: 0.375 0.422 0.547
I: 0.578 0.125 0.953
I: 0.875 0.828 0.453

## Properties
Crystal system ... tetragonal
Size of the total moment ... 1.000 μB per formula unit

***

Entry 2
A relaxed BaBI2 crystal, computed with PBE.

Cell lengths 5.859, 5.859, 5.859 Å; angles 60.00, 60.00, 60.00 degrees
Element x y z (fractional)
Ba: 0.000 0.000 0.000
B: 0.500 0.500 0.500
I: 0.250 0.250 0.250
I: 0.750 0.750 0.750

## Properties
Crystal system ... cubic
Size of the total moment ... 1.000 μB per formula unit

***

Sorted by energy, starting with the most stable: entry 2, entry 1.

***

Entry 1
A relaxed BaBI3 crystal, computed with PBE.

Cell lengths 5.482, 5.482, 5.482 Å; angles 90.00, 90.00, 90.00 degrees
Element x y z (fractional)
Ba: 0.000 0.000 0.000
B: 0.500 0.500 0.500
I: 0.000 0.500 0.500
I: 0.500 0.000 0.500
I: 0.500 0.500 0.000

## Properties
Crystal system ... cubic
Size of the total moment ... 0.000 μB per formula unit

***

Entry 2
A relaxed BaBI3 crystal, computed with PBE.

Cell lengths 6.733, 6.733, 6.733 Å; angles 90.00, 90.00, 90.00 degrees
Element x y z (fractional)
Ba: 0.000 0.000 0.000
B: 0.500 0.500 0.500
I: 0.000 0.000 0.500
I: 0.000 0.500 0.000
I: 0.500 0.000 0.000

## Properties
Crystal system ... cubic
Size of the total moment ... 0.000 μB per formula unit

***

Sorted by energy, starting with the most stable: entry 1, entry 2.

***

Entry 1
A relaxed BaBI2N crystal, computed with PBE.

Cell lengths 6.579, 6.579, 3.018 Å; angles 90.00, 90.00, 90.00 degrees
Element x y z (fractional)
Ba: 0.000 0.000 0.000
B: 0.500 0.500 0.500
I: 0.000 0.500 0.500
I: 0.500 0.000 0.500
N: 0.500 0.500 0.000

## Properties
Crystal system ... tetragonal
Size of the total moment ... 0.000 μB per formula unit

***

Entry 2
A relaxed BaBI2N crystal, computed with PBE.

Cell lengths 6.799, 6.799, 5.407 Å; angles 90.00, 90.00, 90.00 degrees
Element x y z (fractional)
Ba: 0.000 0.000 0.000
B: 0.500 0.500 0.500
I: 0.000 0.500 0.000
I: 0.500 0.000 0.000
N: 0.000 0.000 0.500

## Properties
Crystal system ... tetragonal
Size of the total moment ... 2.761 μB per formula unit

***

Sorted by energy, starting with the most stable: entry 1, entry 2.

***

Entry 1
A relaxed BaIn3B crystal, computed with PBE.

Cell lengths 6.454, 6.454, 6.454 Å; angles 90.00, 90.00, 90.00 degrees
Element x y z (fractional)
Ba: 0.000 0.000 0.000
In: 0.000 0.000 0.500
In: 0.000 0.500 0.000
In: 0.500 0.000 0.000
B: 0.500 0.500 0.500

## Properties
Crystal system ... cubic
Size of the total moment ... 0.012 μB per formula unit

***

Entry 2
A relaxed BaIn3B crystal, computed with PBE.

Cell lengths 5.123, 5.123, 5.123 Å; angles 90.00, 90.00, 90.00 degrees
Element x y z (fractional)
Ba: 0.000 0.000 0.000
In: 0.000 0.500 0.500
In: 0.500 0.000 0.500
In: 0.500 0.500 0.000
B: 0.500 0.500 0.500

## Properties
Crystal system ... cubic
Size of the total moment ... 0.000 μB per formula unit

***

Sorted by energy, starting with the most stable: entry 2, entry 1.

***

Entry 1
A relaxed BaBIr crystal, computed with PBE.

Cell lengths 3.685, 3.685, 5.213 Å; angles 90.00, 90.00, 120.00 degrees
Element x y z (fractional)
Ba: 0.000 0.000 0.000
B: 0.333 0.667 0.500
Ir: 0.667 0.333 0.500

## Properties
Crystal system ... hexagonal
Size of the total moment ... 0.000 μB per formula unit

***

Entry 2
A relaxed BaBIr crystal, computed with PBE.

Cell lengths 3.958, 3.958, 9.786 Å; angles 90.00, 90.00, 90.00 degrees
Element x y z (fractional)
Ba: 0.250 0.250 0.215
Ba: 0.750 0.750 0.785
B: 0.250 0.250 0.585
B: 0.750 0.750 0.415
Ir: 0.250 0.750 0.500
Ir: 0.750 0.250 0.500

## Properties
Crystal system ... tetragonal
Size of the total moment ... 0.000 μB per formula unit

***

Sorted by energy, starting with the most stable: entry 2, entry 1.